The following is a PBE calculation of a geometry-optimized Mg6CdPd2 structure, from Alexandria via LeMat-Bulk.

Unit cell a=7.8546 b=7.8546 c=7.8546 alpha=113.89 beta=113.43 gamma=101.38
Fractional positions:
Mg (0.0423, 0.2467, 0.7956)
Mg (0.1863, 0.2962, 0.4825)
Mg (0.1863, 0.7038, 0.8902)
Mg (0.3400, 0.0390, 0.6990)
Mg (0.3400, 0.6411, 0.3010)
Mg (0.4511, 0.2467, 0.2044)
Mg (0.5489, 0.7533, 0.7956)
Mg (0.6600, 0.3589, 0.6990)
Mg (0.6600, 0.9610, 0.3010)
Mg (0.8137, 0.2962, 0.1098)
Mg (0.8137, 0.7038, 0.5175)
Mg (0.9577, 0.7533, 0.2044)
Cd (0.0000, 0.0000, 0.0000)
Cd (0.5000, 0.5000, 0.0000)
Pd (0.1409, 0.6409, 0.5000)
Pd (0.3263, 0.0000, 0.3263)
Pd (0.6737, 0.0000, 0.6737)
Pd (0.8591, 0.3591, 0.5000)

Summary:
Energy of formation   -0.38 eV/atom
Space group   Immm
Polymorph energy (0 for the lowest one)   0.000 eV/atom

The following is a PBE calculation of a geometry-optimized Li7Sn4Hg structure, from Alexandria via LeMat-Bulk.

Unit cell a=7.2119 b=7.2119 c=10.1713 alpha=126.07 beta=126.07 gamma=40.64
Fractional positions:
Li (0.0000, 0.0000, 0.0000)
Li (0.1423, 0.1423, 0.5867)
Li (0.2824, 0.2824, 0.1468)
Li (0.4457, 0.4457, 0.6753)
Li (0.5543, 0.5543, 0.3247)
Li (0.7176, 0.7176, 0.8532)
Li (0.8577, 0.8577, 0.4133)
Sn (0.0716, 0.0716, 0.7912)
Sn (0.1987, 0.1987, 0.3608)
Sn (0.8013, 0.8013, 0.6392)
Sn (0.9284, 0.9284, 0.2088)
Hg (0.5000, 0.5000, 0.0000)

Summary:
Energy of formation   -0.26 eV/atom
Space group   C2/m

The following is a PBE calculation of a geometry-optimized CoP2Se structure, from Alexandria via LeMat-Bulk.

Unit cell a=4.5203 b=4.5203 c=3.4059 alpha=90.00 beta=90.00 gamma=119.94
Fractional positions:
Co (0.0000, 0.0000, 0.0000)
P (0.1951, 0.8049, 0.5000)
P (0.8049, 0.1951, 0.5000)
Se (0.5000, 0.5000, 0.0000)

Summary:
Uncorrected formation energy   -0.027 eV/atom
Space group   Cmmm

The following is a PBE calculation of a geometry-optimized Pm3DyHo7 structure, from Alexandria via LeMat-Bulk.

Unit cell a=6.9340 b=5.5117 c=9.9712 alpha=90.00 beta=109.50 gamma=90.00
Fractional positions:
Pm (0.0000, 0.0000, 0.0000)
Pm (0.2812, 0.5000, 0.4967)
Pm (0.7188, 0.5000, 0.5033)
Dy (0.5000, 0.0000, 0.0000)
Ho (0.0000, 0.0000, 0.5000)
Ho (0.1480, 0.5000, 0.7893)
Ho (0.3207, 0.5000, 0.1376)
Ho (0.4224, 0.0000, 0.3294)
Ho (0.5776, 0.0000, 0.6706)
Ho (0.6793, 0.5000, 0.8624)
Ho (0.8520, 0.5000, 0.2107)

Summary:
Energy of formation   0.15 eV/atom
Space group   P2/m
Polymorph energy (0 for the lowest one)   0.000 eV/atom

The following is a PBE calculation of a geometry-optimized SbMoSe structure, from Alexandria via LeMat-Bulk.

Unit cell a=4.5053 b=4.5053 c=3.3501 alpha=90.00 beta=90.00 gamma=120.00
Fractional positions:
Sb (0.0000, 0.0000, 0.0000)
Mo (0.3333, 0.6667, 0.5000)
Se (0.6667, 0.3333, 0.5000)

Summary:
Uncorrected formation energy   0.247 eV/atom
Space group   P-6m2
Polymorph energy (0 for the lowest one)   0.428 eV/atom

The following is a PBE calculation of a geometry-optimized HoNpCd2O6 structure, from Alexandria via LeMat-Bulk.

Unit cell a=5.7291 b=5.8496 c=10.1515 alpha=90.00 beta=123.68 gamma=90.00
Fractional positions:
Ho (0.0000, 0.0000, 0.0000)
Ho (0.0000, 0.5000, 0.5000)
Np (0.5000, 0.0000, 0.5000)
Np (0.5000, 0.5000, 0.0000)
Cd (0.2503, 0.0408, 0.7506)
Cd (0.2503, 0.4592, 0.2506)
Cd (0.7497, 0.5408, 0.7494)
Cd (0.7497, 0.9592, 0.2494)
O (0.1363, 0.0747, 0.2533)
O (0.1363, 0.4253, 0.7533)
O (0.2501, 0.6740, 0.0626)
O (0.2501, 0.8260, 0.5626)
O (0.3972, 0.1901, 0.0662)
O (0.3972, 0.3099, 0.5662)
O (0.6028, 0.6901, 0.4338)
O (0.6028, 0.8099, 0.9338)
O (0.7499, 0.1740, 0.4374)
O (0.7499, 0.3260, 0.9374)
O (0.8637, 0.5747, 0.2467)
O (0.8637, 0.9253, 0.7467)

Summary:
Uncorrected formation energy   -2.319 eV/atom
Space group   P2_1/c

The following is a PBE calculation of a geometry-optimized Ac7LaNd3 structure, from Alexandria via LeMat-Bulk.

Unit cell a=9.1489 b=9.1489 c=6.4758 alpha=110.63 beta=110.63 gamma=86.16
Fractional positions:
Ac (0.0000, 0.0000, 0.0000)
Ac (0.1024, 0.5137, 0.3079)
Ac (0.2973, 0.2973, 0.7986)
Ac (0.4863, 0.8976, 0.6921)
Ac (0.5137, 0.1024, 0.3079)
Ac (0.7027, 0.7027, 0.2014)
Ac (0.8976, 0.4863, 0.6921)
La (0.0000, 0.0000, 0.5000)
Nd (0.2899, 0.7101, 0.0000)
Nd (0.5000, 0.5000, 0.5000)
Nd (0.7101, 0.2899, 0.0000)

Summary:
Energy of formation   0.23 eV/atom
Space group   C2/m
Polymorph energy (0 for the lowest one)   0.000 eV/atom

The following is a PBE calculation of a geometry-optimized TiCoPb3 structure, from Alexandria via LeMat-Bulk.

Unit cell a=5.0619 b=5.0619 c=5.0619 alpha=90.00 beta=90.00 gamma=90.00
Fractional positions:
Ti (0.0000, 0.0000, 0.0000)
Co (0.5000, 0.5000, 0.5000)
Pb (0.0000, 0.5000, 0.5000)
Pb (0.5000, 0.0000, 0.5000)
Pb (0.5000, 0.5000, 0.0000)

Summary:
Energy of formation   0.69 eV/atom
Space group   Pm-3m
Polymorph energy (0 for the lowest one)   0.000 eV/atom

Number 1: E -2.696 eV per atom. Number 2: E -2.735 eV per atom. Number 3: E -5.380 eV per atom. Number 4: E -4.479 eV per atom. Number 5: E -5.899 eV per atom. Number 6: E -7.229 eV per atom. Number 7: E -4.134 eV per atom. Number 8: E -4.532 eV per atom.